Computed, not measured: Li2ZrCl at its PBEsol-relaxed geometry at the SCAN level of DFT.

Unit cell a=6.9036 b=6.9036 c=6.9036 alpha=90.00 beta=90.00 gamma=90.00
Last column: nearest neighbours and their distance in Å.
Space group Fm-3m (No. 225)
Inequivalent atoms, fractional coordinates:
Li  0.2500  0.2500  0.2500 x8  4 Zr 2.99, 4 Cl 2.99
Zr  0.0000  0.0000  0.0000 x4  8 Li 2.99
Cl  0.0000  0.0000  0.5000 x4  8 Li 2.99

## Properties
- Energy relative to the elements, uncorrected: 0.35 eV per atom
- Crystal system: cubic
- Total magnetic moment: 3.91 μB/f.u.

Computed, not measured: La3Te4Br at its PBEsol-relaxed geometry at the SCAN level of DFT.

Unit cell a=16.1993 b=4.3378 c=14.1676 alpha=90.00 beta=90.00 gamma=90.00
Last column: nearest neighbours and their distance in Å.
Space group Pnma (No. 62)
Inequivalent atoms, fractional coordinates:
La  0.1185  0.2500  0.2491 x4  1 Br 3.09, 7 Te 3.26-3.31
La  0.1263  0.7500  0.5907 x4  1 Br 3.07, 7 Te 3.27-3.34
La  0.1333  0.2500  0.9259 x4  2 Br 3.03, 6 Te 3.24-3.34
Te  0.0242  0.7500  0.3876 x4  5 La 3.28-3.32
Te  0.0725  0.7500  0.0807 x4  5 La 3.24-3.34, 2 Br 3.59
Te  0.2165  0.2500  0.4517 x4  5 La 3.27-3.28
Te  0.2329  0.2500  0.7222 x4  5 La 3.26-3.34, 2 Br 3.60
Br  0.0680  0.7500  0.7970 x4  4 La 3.03-3.09

## Properties
- Energy relative to the elements, uncorrected: -1.87 eV per atom
- Crystal system: orthorhombic
- Total magnetic moment: 0.00 μB/f.u.

Computed, not measured: Sc2TiBeFe at its PBEsol-relaxed geometry at the SCAN level of DFT.

Unit cell a=4.7454 b=4.7454 c=4.2856 alpha=90.00 beta=90.00 gamma=90.00
Last column: nearest neighbours and their distance in Å.
Space group P4/mmm (No. 123)
Inequivalent atoms, fractional coordinates:
Sc  0.0000  0.5000  0.0000 x2  2 Fe 2.37
Ti  0.0000  0.0000  0.5000 x1  2 Fe 2.14
Be  0.5000  0.5000  0.5000 x1  8 Sc 3.20, 4 Ti 3.36
Fe  0.0000  0.0000  0.0000 x1  2 Ti 2.14, 4 Sc 2.37

## Properties
- Crystal system: tetragonal
- Total magnetic moment: 0.00 μB/f.u.
- Formation energy: 0.4649 eV per atom

Computed, not measured: Ba2Pb at its PBEsol-relaxed geometry at the SCAN level of DFT.

Unit cell a=5.6875 b=5.6875 c=4.2714 alpha=90.00 beta=90.00 gamma=120.00
Last column: nearest neighbours and their distance in Å.
Space group P-3m1 (No. 164)
Inequivalent atoms, fractional coordinates:
Ba  0.3333  0.6667  0.1903 x2  3 Pb 3.54, 3 Ba 3.66
Pb  0.0000  0.0000  0.5000 x1  6 Ba 3.54

## Properties
- Crystal system: trigonal
- Total magnetic moment: 0.00 μB/f.u.
- Formation energy: -0.5574 eV per atom

Computed, not measured: La2AlCl at its PBEsol-relaxed geometry at the SCAN level of DFT.

Unit cell a=3.6162 b=3.6347 c=8.4844 alpha=90.00 beta=90.00 gamma=90.00
Last column: nearest neighbours and their distance in Å.
Space group Pmmm (No. 47)
Inequivalent atoms, fractional coordinates:
La  0.0000  0.0000  0.2275 x2  2 Cl 2.94, 4 Al 3.21
Al  0.5000  0.5000  0.0000 x1  8 La 3.21
Cl  0.5000  0.0000  0.5000 x1  4 La 2.94

## Properties
- Energy relative to the elements, uncorrected: -1.08 eV per atom
- Crystal system: orthorhombic
- Total magnetic moment: 0.00 μB/f.u.

Computed, not measured: Hf2NbCr at its PBEsol-relaxed geometry at the SCAN level of DFT.

Unit cell a=6.5916 b=6.5916 c=6.5916 alpha=90.00 beta=90.00 gamma=90.00
Last column: nearest neighbours and their distance in Å.
Space group Fm-3m (No. 225)
Inequivalent atoms, fractional coordinates:
Hf  0.2500  0.2500  0.2500 x8  4 Cr 2.85, 4 Nb 2.85
Nb  0.0000  0.0000  0.0000 x4  8 Hf 2.85
Cr  0.0000  0.0000  0.5000 x4  8 Hf 2.85

## Properties
- Crystal system: cubic
- Total magnetic moment: 4.09 μB/f.u.
- Formation energy: 0.0689 eV per atom